Record 1
## Pm2PuP3 (GGA-PBE)

Data for a relaxed structure of Pm2PuP3.

## Properties
distance to the lowest polymorph of the same formula = 0.007 eV/atom
calculated total energy = -8.085 eV per atom
crystal system = tetragonal
formation energy = -1.41 eV/atom

a = 4.0878 Å, b = 4.0878 Å, c = 9.1289 Å
α = 102.94°, β = 102.94°, γ = 90.00°
Positions (direct):
Pu: 0.4341 0.4359 0.8740
P: 0.5977 0.5990 0.2008
P: 0.2709 0.2722 0.5471
P: 0.9341 0.9359 0.8739
Pm: 0.1018 0.1031 0.2089
Pm: 0.7668 0.7681 0.5390


Record 2
## MnCuPH (GGA-PBE)

Data for a relaxed structure of MnCuPH.

## Properties
distance to the lowest polymorph of the same formula = 0.000 eV/atom
calculated total energy = -5.574 eV per atom
crystal system = orthorhombic

a = 3.1998 Å, b = 3.8069 Å, c = 3.6399 Å
α = 90.00°, β = 90.00°, γ = 90.00°
Positions (direct):
Mn: 0.0000 0.5000 0.0000
Cu: 0.0000 0.0000 0.5000
H: 0.0000 0.0000 0.0000
P: 0.5000 0.5000 0.5000


Record 3
## Ac3Al2O7 (GGA-PBE)

Data for a relaxed structure of Ac3Al2O7.

## Properties
distance to the lowest polymorph of the same formula = 0.028 eV/atom
calculated total energy = -7.630 eV per atom
formation energy (no corrections) = -3086.9 meV per atom
crystal system = orthorhombic

a = 3.8314 Å, b = 3.8189 Å, c = 12.7710 Å
α = 98.60°, β = 90.00°, γ = 90.00°
Positions (direct):
O: 0.5000 0.9219 0.8437
O: 0.5000 0.0781 0.1563
O: 0.0000 0.5782 0.1564
O: 0.0000 0.4218 0.8436
O: 0.0000 0.0000 0.0000
O: 0.0000 0.1545 0.3090
O: 0.0000 0.8455 0.6910
Ac: 0.5000 0.5000 0.0000
Ac: 0.5000 0.3447 0.6894
Ac: 0.5000 0.6553 0.3106
Al: 0.0000 0.0785 0.1571
Al: 0.0000 0.9215 0.8429


Record 4
## Sm8DyTh2 (GGA-PBE)

Data for a relaxed structure of Sm8DyTh2.

## Properties
distance to the lowest polymorph of the same formula = 0.007 eV/atom
calculated total energy = -4.996 eV per atom
crystal system = monoclinic
formation energy = 0.20 eV/atom

a = 5.7089 Å, b = 10.2329 Å, c = 10.2329 Å
α = 40.33°, β = 92.81°, γ = 92.81°
Positions (direct):
Sm: 0.7353 0.3984 0.8622
Sm: 0.2647 0.6016 0.1378
Sm: 0.7785 0.8164 0.8164
Sm: 0.7353 0.8622 0.3984
Sm: 0.2334 0.5478 0.5478
Sm: 0.2215 0.1836 0.1836
Sm: 0.7666 0.4522 0.4522
Sm: 0.2647 0.1378 0.6016
Dy: 0.0000 0.0000 0.0000
Th: 0.2775 0.7193 0.7193
Th: 0.7225 0.2807 0.2807


Record 5
## NaGa2Si2 (GGA-PBE)

Data for a relaxed structure of NaGa2Si2.

## Properties
distance to the lowest polymorph of the same formula = 0.220 eV/atom
calculated total energy = -3.442 eV per atom
formation energy (no corrections) = 201.6 meV per atom
crystal system = tetragonal

a = 7.7844 Å, b = 7.7844 Å, c = 3.0637 Å
α = 90.00°, β = 90.00°, γ = 90.00°
Positions (direct):
Ga: 0.1392 0.3608 0.0000
Ga: 0.8608 0.6392 0.0000
Ga: 0.6392 0.1392 0.0000
Ga: 0.3608 0.8608 0.0000
Si: 0.6527 0.8473 0.5000
Si: 0.8473 0.3473 0.5000
Si: 0.3473 0.1527 0.5000
Si: 0.1527 0.6527 0.5000
Na: 0.5000 0.5000 0.0000
Na: 0.0000 0.0000 0.0000


Record 6
## MgZrCoIr (GGA-PBE)

Data for a relaxed structure of MgZrCoIr.

## Properties
calculated total energy = -7.005 eV per atom
crystal system = cubic
formation energy = -0.48 eV/atom

a = 4.4751 Å, b = 4.4751 Å, c = 4.4751 Å
α = 60.00°, β = 60.00°, γ = 60.00°
Positions (direct):
Mg: 0.7500 0.7500 0.7500
Ir: 0.5000 0.5000 0.5000
Co: 0.0000 0.0000 0.0000
Zr: 0.2500 0.2500 0.2500


Record 7
## PrZn10Cd (GGA-PBE)

Data for a relaxed structure of PrZn10Cd.

## Properties
calculated total energy = -1.659 eV per atom
crystal system = orthorhombic
formation energy = -0.12 eV/atom

a = 4.3278 Å, b = 5.2444 Å, c = 9.3419 Å
α = 90.00°, β = 90.00°, γ = 90.00°
Positions (direct):
Zn: 0.0000 0.0000 0.6949
Zn: 0.5000 0.2597 0.2618
Zn: 0.0000 0.5000 0.1541
Zn: 0.5000 0.5000 0.0000
Zn: 0.0000 0.0000 0.3051
Zn: 0.5000 0.7403 0.2618
Zn: 0.5000 0.0000 0.5000
Zn: 0.5000 0.7403 0.7382
Zn: 0.5000 0.2597 0.7382
Zn: 0.0000 0.5000 0.8459
Cd: 0.0000 0.0000 0.0000
Pr: 0.0000 0.5000 0.5000


Record 8
## SrSiTc2 (GGA-PBE)

Data for a relaxed structure of SrSiTc2.

## Properties
calculated total energy = -6.196 eV per atom
formation energy (no corrections) = 763.2 meV per atom
crystal system = monoclinic

a = 5.3943 Å, b = 5.5114 Å, c = 2.8002 Å
α = 76.48°, β = 87.63°, γ = 118.61°
Positions (direct):
Sr: 0.5000 0.5000 0.0000
Si: 0.0000 0.5000 0.5000
Tc: 0.0000 0.0000 0.0000
Tc: 0.5000 0.0000 0.5000


Record 9
## MgHgOs2 (GGA-PBE)

Data for a relaxed structure of MgHgOs2.

## Properties
distance to the lowest polymorph of the same formula = 0.490 eV/atom
calculated total energy = -5.410 eV per atom
crystal system = tetragonal
formation energy = 0.68 eV/atom

a = 5.2197 Å, b = 5.2197 Å, c = 5.2197 Å
α = 136.72°, β = 136.72°, γ = 62.87°
Positions (direct):
Os: 0.0000 0.0000 0.0000
Os: 0.5000 0.5000 0.0000
Mg: 0.7500 0.2500 0.5000
Hg: 0.2500 0.7500 0.5000


Record 10
## K3Hg4Bi4 (GGA-PBE)

Data for a relaxed structure of K3Hg4Bi4.

## Properties
calculated total energy = -2.017 eV per atom
crystal system = monoclinic
formation energy = -0.20 eV/atom

a = 5.2262 Å, b = 5.4185 Å, c = 15.0300 Å
α = 78.80°, β = 80.01°, γ = 90.05°
Positions (direct):
Hg: 0.9063 0.3519 0.1881
Hg: 0.2479 0.2356 0.5034
Hg: 0.0936 0.6481 0.8119
Hg: 0.7521 0.7644 0.4966
K: 0.6544 0.1359 0.6913
K: 0.3456 0.8641 0.3087
K: 0.0000 0.0000 0.0000
Bi: 0.8043 0.3205 0.3904
Bi: 0.4491 0.5099 0.1025
Bi: 0.5508 0.4901 0.8975
Bi: 0.1957 0.6795 0.6096


Record 11
## SrAl2Ag (GGA-PBE)

Data for a relaxed structure of SrAl2Ag.

## Properties
calculated total energy = -3.059 eV per atom
crystal system = monoclinic
formation energy = -0.05 eV/atom

a = 4.6269 Å, b = 3.7798 Å, c = 5.8342 Å
α = 76.88°, β = 90.00°, γ = 90.00°
Positions (direct):
Ag: 0.5000 0.7500 0.7500
Sr: 0.5000 0.2500 0.2500
Al: 0.0000 0.5898 0.5649
Al: 0.0000 0.9102 0.9351


Record 12
## Sr2MgGa3Ag4 (GGA-PBE)

Data for a relaxed structure of Sr2MgGa3Ag4.

## Properties
calculated total energy = -2.849 eV per atom
crystal system = tetragonal
formation energy = -0.30 eV/atom

a = 4.3862 Å, b = 4.3862 Å, c = 11.9339 Å
α = 90.00°, β = 90.00°, γ = 90.00°
Positions (direct):
Ga: 0.0000 0.5000 0.1326
Ga: 0.5000 0.0000 0.8674
Ga: 0.0000 0.0000 0.5000
Mg: 0.5000 0.5000 0.5000
Ag: 0.0000 0.5000 0.3559
Ag: 0.5000 0.5000 0.0000
Ag: 0.5000 0.0000 0.6441
Ag: 0.0000 0.0000 0.0000
Sr: 0.0000 0.5000 0.7597
Sr: 0.5000 0.0000 0.2403


Record 13
## SrTa2Pt (GGA-PBE)

Data for a relaxed structure of SrTa2Pt.

## Properties
distance to the lowest polymorph of the same formula = 0.000 eV/atom
calculated total energy = -7.803 eV per atom
crystal system = orthorhombic
formation energy = 0.05 eV/atom

a = 3.1426 Å, b = 3.3297 Å, c = 8.4888 Å
α = 90.00°, β = 90.00°, γ = 90.00°
Positions (direct):
Pt: 0.0000 0.0000 0.4431
Sr: 0.5000 0.5000 0.7254
Ta: 0.0000 0.0000 0.0619
Ta: 0.5000 0.5000 0.2697


Record 14
## Tl3InCo (GGA-PBE)

Data for a relaxed structure of Tl3InCo.

## Properties
calculated total energy = -3.164 eV per atom
crystal system = cubic
formation energy = 0.22 eV/atom

a = 5.1145 Å, b = 5.1145 Å, c = 5.1145 Å
α = 90.00°, β = 90.00°, γ = 90.00°
Positions (direct):
Tl: 0.0000 0.5000 0.0000
Tl: 0.5000 0.0000 0.0000
Tl: 0.0000 0.0000 0.5000
In: 0.5000 0.5000 0.5000
Co: 0.0000 0.0000 0.0000


Record 15
## SmPaSbN2 (GGA-PBE)

Data for a relaxed structure of SmPaSbN2.

## Properties
calculated total energy = -8.421 eV per atom
formation energy (no corrections) = -1423.8 meV per atom
crystal system = tetragonal

a = 3.9602 Å, b = 3.9602 Å, c = 7.2740 Å
α = 105.80°, β = 105.80°, γ = 90.00°
Positions (direct):
Sm: 0.8381 0.8381 0.6762
N: 0.2424 0.7424 0.4848
N: 0.7424 0.2424 0.4848
Pa: 0.1725 0.1725 0.3449
Sb: 0.5046 0.5046 0.0093


Record 16
## SiP4H8 (GGA-PBE)

Data for a relaxed structure of SiP4H8.

## Properties
calculated total energy = -4.197 eV per atom
crystal system = monoclinic

a = 7.2971 Å, b = 10.7180 Å, c = 11.0472 Å
α = 100.84°, β = 90.00°, γ = 90.00°
Positions (direct):
H: 0.7601 0.3487 0.2666
H: 0.2399 0.6513 0.7334
H: 0.8975 0.6584 0.2032
H: 0.0014 0.6026 0.8158
H: 0.2548 0.8123 0.0247
H: 0.3208 0.1201 0.6236
H: 0.6698 0.0020 0.2502
H: 0.6821 0.5860 0.5235
H: 0.9273 0.3169 0.5844
H: 0.7452 0.1877 0.9753
H: 0.4273 0.6831 0.9156
H: 0.5727 0.3169 0.0844
H: 0.1025 0.3416 0.7968
H: 0.6792 0.8799 0.3764
H: 0.8302 0.0020 0.7502
H: 0.9986 0.3974 0.1842
H: 0.2601 0.6513 0.2334
H: 0.4986 0.6026 0.3158
H: 0.3302 0.9980 0.7498
H: 0.3179 0.4140 0.4765
H: 0.2452 0.8123 0.5247
H: 0.5014 0.3974 0.6842
H: 0.1821 0.4140 0.9765
H: 0.6025 0.6584 0.7032
H: 0.8179 0.5860 0.0235
H: 0.7399 0.3487 0.7666
H: 0.3975 0.3416 0.2968
H: 0.8208 0.8799 0.8764
H: 0.1698 0.9980 0.2498
H: 0.7548 0.1877 0.4753
H: 0.1792 0.1201 0.1236
H: 0.0727 0.6831 0.4156
P: 0.4579 0.0736 0.6965
P: 0.0745 0.5845 0.6935
P: 0.5627 0.1869 0.0228
P: 0.1356 0.2916 0.9062
P: 0.0627 0.8131 0.4772
P: 0.4373 0.8131 0.9772
P: 0.6356 0.7084 0.5938
P: 0.3644 0.2916 0.4062
P: 0.9373 0.1869 0.5228
P: 0.5421 0.9264 0.3035
P: 0.8644 0.7084 0.0938
P: 0.9579 0.9264 0.8035
P: 0.4255 0.5845 0.1935
P: 0.0421 0.0736 0.1965
P: 0.5745 0.4155 0.8065
P: 0.9255 0.4155 0.3065
Si: 0.9322 0.7579 0.6460
Si: 0.0678 0.2421 0.3540
Si: 0.4322 0.2421 0.8540
Si: 0.5678 0.7579 0.1460


Record 17
## LaCoGe (GGA-PBE)

Data for a relaxed structure of LaCoGe.

## Properties
calculated total energy = -6.085 eV per atom
crystal system = hexagonal
formation energy = -0.53 eV/atom

a = 4.2542 Å, b = 4.1485 Å, c = 4.1485 Å
α = 120.00°, β = 90.00°, γ = 90.00°
Positions (direct):
Ge: 0.1666 0.0000 0.0000
Co: 0.1667 0.6667 0.3333
La: 0.6666 0.3333 0.6667


Record 18
## Zn5Ag8Sn (GGA-PBE)

Data for a relaxed structure of Zn5Ag8Sn.

## Properties
calculated total energy = -2.287 eV per atom
crystal system = tetragonal
formation energy = 0.08 eV/atom

a = 6.9335 Å, b = 6.9335 Å, c = 6.9335 Å
α = 109.87°, β = 108.67°, γ = 109.87°
Positions (direct):
Zn: 0.8697 0.9077 0.2048
Zn: 0.7952 0.6650 0.7029
Zn: 0.2971 0.0923 0.9620
Zn: 0.0380 0.3350 0.1303
Zn: 0.5000 0.0000 0.5000
Ag: 0.7410 0.2595 0.3379
Ag: 0.0784 0.7405 0.4815
Ag: 0.3449 0.2621 0.4037
Ag: 0.6621 0.4031 0.9216
Ag: 0.9172 0.0588 0.6551
Ag: 0.5963 0.9412 0.8584
Ag: 0.5185 0.5969 0.2590
Ag: 0.1416 0.7379 0.0828
Sn: 0.2500 0.5000 0.7500


Record 19
## LiTl2As (GGA-PBE)

Data for a relaxed structure of LiTl2As.

## Properties
distance to the lowest polymorph of the same formula = 0.148 eV/atom
calculated total energy = -2.909 eV per atom
crystal system = orthorhombic
formation energy = -0.08 eV/atom

a = 5.5946 Å, b = 5.5946 Å, c = 5.5946 Å
α = 134.63°, β = 125.06°, γ = 73.92°
Positions (direct):
Tl: 0.7312 0.2312 0.5000
Tl: 0.0105 0.0105 0.0000
Li: 0.2903 0.7903 0.5000
As: 0.4679 0.4679 0.0000


Record 20
## PmLuSc2 (GGA-PBE)

Data for a relaxed structure of PmLuSc2.

## Properties
distance to the lowest polymorph of the same formula = 0.007 eV/atom
calculated total energy = -5.420 eV per atom
crystal system = trigonal
formation energy = 0.06 eV/atom

a = 3.4263 Å, b = 3.4263 Å, c = 11.1461 Å
α = 81.16°, β = 81.16°, γ = 60.00°
Positions (direct):
Pm: 0.0000 0.0000 0.0000
Sc: 0.7514 0.7514 0.7457
Sc: 0.2486 0.2486 0.2543
Lu: 0.5000 0.5000 0.5000


Record 21
## LaZrCu (GGA-PBE)

Data for a relaxed structure of LaZrCu.

## Properties
distance to the lowest polymorph of the same formula = 1.591 eV/atom
calculated total energy = -4.316 eV per atom
crystal system = hexagonal
formation energy = 1.54 eV/atom

a = 4.5697 Å, b = 4.5697 Å, c = 11.2760 Å
α = 90.00°, β = 90.00°, γ = 120.00°
Positions (direct):
Cu: 0.3333 0.6667 0.2500
Cu: 0.6667 0.3333 0.7500
Zr: 0.0000 0.0000 0.0000
Zr: 0.0000 0.0000 0.5000
La: 0.0000 0.0000 0.2500
La: 0.0000 0.0000 0.7500


Record 22
## Nd4ScSb4 (GGA-PBE)

Data for a relaxed structure of Nd4ScSb4.

## Properties
calculated total energy = -5.312 eV per atom
formation energy (no corrections) = -657.5 meV per atom
crystal system = tetragonal

a = 8.0057 Å, b = 8.0057 Å, c = 7.5362 Å
α = 122.08°, β = 122.08°, γ = 90.00°
Positions (direct):
Sc: 0.0000 0.0000 0.0000
Sb: 0.6366 0.6366 0.7304
Sb: 0.0938 0.0938 0.7304
Sb: 0.9062 0.3634 0.2696
Sb: 0.3634 0.9062 0.2696
Nd: 0.6740 0.6740 0.3479
Nd: 0.0000 0.5000 0.0000
Nd: 0.3260 0.3260 0.6521
Nd: 0.5000 0.0000 0.0000


Record 23
## Ag5SnTe4Cl2 (GGA-PBE)

Data for a relaxed structure of Ag5SnTe4Cl2.

## Properties
calculated total energy = -3.062 eV per atom
formation energy (no corrections) = -185.0 meV per atom
crystal system = orthorhombic

a = 6.6597 Å, b = 7.2096 Å, c = 8.3029 Å
α = 90.00°, β = 90.00°, γ = 117.51°
Positions (direct):
Te: 0.6741 0.0000 0.2787
Te: 0.0262 0.6298 0.0000
Te: 0.6741 0.0000 0.7213
Te: 0.3964 0.3702 0.0000
Ag: 0.3538 0.0000 0.5000
Ag: 0.7076 0.6326 0.2411
Ag: 0.0749 0.3674 0.7589
Ag: 0.7076 0.6326 0.7589
Ag: 0.0749 0.3674 0.2411
Cl: 0.9635 0.6540 0.5000
Cl: 0.3095 0.3460 0.5000
Sn: 0.4429 0.0000 0.0000